{
  "formula": "NbV5Ru4",
  "functional": "GGA-PBE",
  "state": "relaxed",
  "spacegroup": "P4/mmm",
  "dos_ef_per_ev_fu": 11.031,
  "mass_density_g_cm3": 8.9,
  "formation_energy_ev_per_atom": -0.214,
  "lattice": [[-1.888, 2.365, 0.215], [-0.153, -0.395, 3.004], [11.936, 9.362, 1.840]],
  "species": ["Nb", "V", "V", "V", "V", "V", "Ru", "Ru", "Ru", "Ru"],
  "fractional_positions": [[0.000, 0.000, 0.000], [0.500, 0.500, 0.104], [0.500, 0.500, 0.302], [0.500, 0.500, 0.500], [0.500, 0.500, 0.698], [0.500, 0.500, 0.896], [0.000, 0.000, 0.206], [0.000, 0.000, 0.403], [0.000, 0.000, 0.597], [0.000, 0.000, 0.794]]
}